Nd8Al2Ru: optimized geometry, GGA-PBE.

* total magnetization: 0.0 μB/f.u.
* formation energy from the elements: -3.82 kcal/mol of atoms

Geometry as extended XYZ:
```
11
Lattice="5.457 0.000 0.000 0.000 7.081 -0.066 -2.728 -3.112 8.337" Properties=species:S:1:pos:R:3 pbc="T T T"
Nd 0.000 1.693 6.582
Nd 2.728 5.608 2.407
Nd 2.728 3.382 4.930
Nd 2.728 -1.422 8.155
Nd 0.000 0.587 3.341
Nd 0.000 -1.639 5.863
Nd 2.728 2.276 1.688
Nd 0.000 5.391 0.116
Al 2.728 0.206 5.297
Al 0.000 3.763 2.973
Ru 2.728 0.000 0.000
```



ScAl2Ru: optimized geometry, GGA-PBE.

* total magnetization: 0.0 μB/f.u.
* formation energy from the elements: -9.99 kcal/mol of atoms

Geometry as extended XYZ:
```
4
Lattice="5.184 0.003 0.038 4.130 3.133 0.038 1.848 0.622 4.017" Properties=species:S:1:pos:R:3 pbc="T T T"
Sc 2.663 0.897 1.102
Ru 5.547 1.867 2.049
Al 1.875 0.631 3.984
Al 8.505 2.863 3.021
```



TbPr2Au2: optimized geometry, GGA-PBE.

* total magnetization: 0.0 μB/f.u.
* energy above the lowest structure with this stoichiometry: 0.000 eV per atom
* formation energy from the elements: -14.64 kcal/mol of atoms

Geometry as extended XYZ:
```
10
Lattice="-0.251 -0.031 3.951 -8.280 -1.141 -0.535 1.142 -8.297 0.009" Properties=species:S:1:pos:R:3 pbc="T T T"
Tb -4.266 -0.586 1.708
Tb 0.446 -4.164 1.980
Pr -5.137 -3.528 -0.354
Pr -5.950 -7.867 -0.439
Pr -1.188 -1.571 -0.088
Pr -2.001 -5.910 -0.173
Au -2.768 -3.509 1.781
Au -7.182 -2.085 1.511
Au -0.206 -7.383 1.914
Au -4.621 -5.959 1.644
```



K3Hg6Au5: optimized geometry, GGA-PBE.

* total magnetization: 0.0 μB/f.u.
* formation energy from the elements: -4.70 kcal/mol of atoms

Geometry as extended XYZ:
```
28
Lattice="-3.867 -1.881 -2.217 6.247 -6.130 -5.698 -0.822 -10.276 10.155" Properties=species:S:1:pos:R:3 pbc="T T T"
K 0.964 -8.649 5.657
K 2.618 -7.568 -3.425
K 2.116 -13.836 2.769
K 1.617 -1.587 -1.475
K 2.286 -10.622 -0.254
K 1.285 -4.641 1.696
Hg 5.415 -14.719 3.044
Hg -2.334 -7.766 5.382
Hg -0.050 -11.817 4.835
Hg 1.626 -4.433 -4.355
Hg 2.277 -7.776 2.626
Hg 3.131 -10.668 3.591
Hg 3.435 -6.857 -0.174
Hg 4.068 -6.830 -6.582
Hg 5.988 -7.552 -4.038
Hg 0.467 -5.351 -1.554
Hg -0.166 -5.379 4.854
Hg -2.085 -4.657 2.310
Au 2.683 -12.457 5.890
Au 4.843 -12.048 1.775
Au 4.854 -4.762 -4.426
Au 0.398 -10.028 2.536
Au -0.951 -7.446 2.698
Au 3.318 -4.514 -1.958
Au 0.585 -7.694 0.230
Au 5.103 -8.794 -1.440
Au -1.762 -10.437 6.652
Au -1.201 -3.414 -0.288
```



ScNb3Se: optimized geometry, GGA-PBE.

* formation energy without anion corrections: 1.582 eV/atom
* total magnetization: 0.0 μB/f.u.
* energy above the lowest structure with this stoichiometry: 1.211 eV per atom

Geometry as extended XYZ:
```
5
Lattice="-4.133 0.776 2.318 -1.164 -4.629 -0.527 2.150 -1.016 4.172" Properties=species:S:1:pos:R:3 pbc="T T T"
Sc 0.000 0.000 0.000
Nb -0.582 -2.314 -0.263
Nb 1.075 -0.508 2.086
Nb -2.066 0.388 1.159
Se -1.574 -2.434 2.982
```



RbPm6S8: optimized geometry, GGA-PBE.

* formation energy without anion corrections: -1.792 eV/atom
* total magnetization: 0.0 μB/f.u.

Geometry as extended XYZ:
```
15
Lattice="-6.557 -4.660 0.458 4.688 -5.835 -2.982 2.202 -1.294 7.642" Properties=species:S:1:pos:R:3 pbc="T T T"
Rb 0.000 0.000 0.000
Pm -0.279 -6.486 5.172
Pm 2.321 -7.548 2.557
Pm -1.421 -7.972 1.824
Pm 0.612 -5.303 -0.054
Pm -1.988 -4.241 2.560
Pm 1.754 -3.817 3.294
S 0.249 -8.827 3.832
S 0.084 -2.962 1.286
S 0.843 -8.115 0.170
S -2.792 -6.588 3.924
S 2.534 -6.015 4.900
S -0.510 -3.673 4.947
S 3.125 -5.200 1.193
S -2.201 -5.774 0.218
```



no.,E_tot (eV/atom)
1,-5.16
2,-6.21
3,-4.78
4,-1.74
5,-6.42
6,-5.96